Entry 1:
## RbTmCdI6 (GGA-PBE)

Data for RbTmCdI6 after structural relaxation.

Values from the calculation:
- SG: No. 163

a = 7.8140 Å, b = 7.8140 Å, c = 16.4175 Å
α = 90.00°, β = 90.00°, γ = 120.00°
Fractional positions:
Rb 0.0000 0.0000 0.0000
Rb 0.0000 0.0000 0.5000
Tm 0.3333 0.6667 0.2500
Tm 0.6667 0.3333 0.7500
Cd 0.3333 0.6667 0.7500
Cd 0.6667 0.3333 0.2500
I 0.0026 0.3732 0.1434
I 0.0026 0.6294 0.3566
I 0.3706 0.3732 0.3566
I 0.3706 0.9974 0.1434
I 0.3732 0.0026 0.6434
I 0.3732 0.3706 0.8566
I 0.6268 0.6294 0.1434
I 0.6268 0.9974 0.3566
I 0.6294 0.0026 0.8566
I 0.6294 0.6268 0.6434
I 0.9974 0.3706 0.6434
I 0.9974 0.6268 0.8566



Entry 2:
## RbUCdI6 (GGA-PBE)

Data for RbUCdI6 after structural relaxation.

Values from the calculation:
- SG: No. 163

a = 8.0547 Å, b = 8.0547 Å, c = 16.0116 Å
α = 90.00°, β = 90.00°, γ = 120.00°
Fractional positions:
Rb 0.0000 0.0000 0.0000
Rb 0.0000 0.0000 0.5000
U 0.3333 0.6667 0.2500
U 0.6667 0.3333 0.7500
Cd 0.3333 0.6667 0.7500
Cd 0.6667 0.3333 0.2500
I 0.0053 0.3782 0.6391
I 0.0053 0.6272 0.8609
I 0.3728 0.3782 0.8609
I 0.3728 0.9947 0.6391
I 0.3782 0.0053 0.1391
I 0.3782 0.3728 0.3609
I 0.6218 0.6272 0.6391
I 0.6218 0.9947 0.8609
I 0.6272 0.0053 0.3609
I 0.6272 0.6218 0.1391
I 0.9947 0.3728 0.1391
I 0.9947 0.6218 0.3609



Entry 3:
## RbUCd2I8 (GGA-PBE)

Data for RbUCd2I8 after structural relaxation.

Values from the calculation:
- SG: No. 147

a = 7.7019 Å, b = 7.7019 Å, c = 11.1307 Å
α = 90.00°, β = 90.00°, γ = 120.00°
Fractional positions:
Rb 0.0000 0.0000 0.0000
U 0.0000 0.0000 0.5000
Cd 0.3333 0.6667 0.7550
Cd 0.6667 0.3333 0.2450
I 0.0195 0.6852 0.3315
I 0.3148 0.3343 0.3315
I 0.3333 0.6667 0.0012
I 0.3343 0.0195 0.6685
I 0.6657 0.9805 0.3315
I 0.6667 0.3333 0.9988
I 0.6852 0.6657 0.6685
I 0.9805 0.3148 0.6685



Entry 4:
## Rb2VCdI6 (GGA-PBE)

Data for Rb2VCdI6 after structural relaxation.

Values from the calculation:
- SG: No. 139

a = 8.3089 Å, b = 8.3089 Å, c = 8.3089 Å
α = 119.97°, β = 119.97°, γ = 90.05°
Fractional positions:
Rb 0.2500 0.7500 0.5000
Rb 0.7500 0.2500 0.5000
V 0.0000 0.0000 0.0000
Cd 0.5000 0.5000 0.0000
I 0.2434 0.2434 0.0000
I 0.2431 0.2431 0.4862
I 0.2431 0.7569 0.0000
I 0.7569 0.2431 0.0000
I 0.7566 0.7566 0.0000
I 0.7569 0.7569 0.5138



Entry 5:
## Rb2CdWI6 (GGA-PBE)

Data for Rb2CdWI6 after structural relaxation.

Values from the calculation:
- SG: No. 139

a = 8.4363 Å, b = 8.4363 Å, c = 8.4363 Å
α = 120.07°, β = 120.07°, γ = 89.87°
Fractional positions:
Rb 0.2500 0.7500 0.5000
Rb 0.7500 0.2500 0.5000
Cd 0.0000 0.0000 0.0000
W 0.5000 0.5000 0.0000
I 0.2633 0.2633 0.0000
I 0.2626 0.2626 0.5252
I 0.2626 0.7374 0.0000
I 0.7374 0.2626 0.0000
I 0.7367 0.7367 0.0000
I 0.7374 0.7374 0.4748



Entry 6:
## Rb2YCdI6 (GGA-PBE)

Data for Rb2YCdI6 after structural relaxation.

Values from the calculation:
- SG: No. 139

a = 8.7881 Å, b = 8.7881 Å, c = 8.7881 Å
α = 119.92°, β = 119.92°, γ = 90.13°
Fractional positions:
Rb 0.2500 0.7500 0.5000
Rb 0.7500 0.2500 0.5000
Y 0.0000 0.0000 0.0000
Cd 0.5000 0.5000 0.0000
I 0.2444 0.2444 0.0000
I 0.2437 0.2437 0.4875
I 0.2437 0.7563 0.0000
I 0.7563 0.2437 0.0000
I 0.7556 0.7556 0.0000
I 0.7563 0.7563 0.5125



VASP energy values, unit eV/cell, following the record order: -51.6, -60.7, -35.8, -29.4, -30.5, -30.0.
Formation energy from raw total energies values, unit eV per atom, following the record order: -1.1284, -0.8773, -0.7759, -0.8092, -0.5422, -1.1411.
Total magnetization values, unit μB per atom, following the record order: 0.00, 0.34, 0.25, 0.30, 0.38, 0.00.